4
Lattice="1.2287 0.7094 9.1142 -1.2287 0.7094 9.1142 0.0000 -1.4187 9.1142" Properties=species:S:1:pos:R:3 comment="BeCF2 PBE optimized geometry" polymorph_energy_mev_per_atom=0.0 formation_energy_uncorrected_mev_per_atom=-749 pbc="T T T"
Be 0.0000 0.0000 0.0000
C 0.0000 0.0000 13.6713
F 0.0000 0.0000 10.0525
F 0.0000 0.0000 17.2902

8
Lattice="-2.0971 2.0971 4.0384 2.0971 -2.0971 4.0384 2.0971 2.0971 -4.0384" Properties=species:S:1:pos:R:3 comment="Be2CF PBE optimized geometry" polymorph_energy_mev_per_atom=0.0 formation_energy_uncorrected_mev_per_atom=-487 pbc="T T T"
Be 3.1457 0.9328 -1.0096
Be 0.9328 1.0486 1.0096
Be -1.0486 1.1643 3.0288
Be 1.1643 1.0486 5.0479
C 0.0000 0.0000 0.0000
C 0.0000 2.0971 2.0192
F 2.0971 0.0000 2.0192
F 0.0000 0.0000 4.0384

68
Lattice="12.5774 0.0000 0.0000 0.0000 4.8970 0.0000 -1.9731 0.0000 9.9884" Properties=species:S:1:pos:R:3 comment="LiBeH8CNOF4 PBE optimized geometry" e_tot_ev_per_atom=-5.14 pbc="T T T"
Li -0.6457 0.8879 3.5530
Li -1.6323 1.5606 8.5473
Li 12.2366 3.3365 1.4412
Li 11.2500 4.0091 6.4354
Be 1.4080 0.9361 1.3030
Be 0.4214 1.5124 6.2972
Be 10.1828 3.3846 3.6912
Be 9.1963 3.9609 8.6855
H 1.3520 3.4591 4.6403
H 0.3655 3.8864 9.6345
H 1.0567 3.0389 8.3612
H 2.0433 4.3066 3.3670
H 2.1730 2.6292 3.4065
H 1.1864 4.7163 8.4007
H 4.3703 2.8119 0.3733
H 3.3838 4.5337 5.3675
H 3.5473 2.7470 5.4076
H 4.5339 4.5985 0.4134
H 4.2619 1.2016 2.3055
H 3.2753 1.2469 7.2997
H 3.2881 3.6639 9.0664
H 4.2746 3.6816 4.0722
H 4.6238 0.4026 7.4296
H 5.6103 2.0460 2.4354
H 4.9939 2.8511 7.5530
H 5.9805 4.4945 2.5588
H 6.3296 1.2154 5.9163
H 7.3162 1.2331 0.9220
H 7.3290 3.6501 2.6887
H 6.3424 3.6954 7.6829
H 6.0704 0.2985 9.5750
H 7.0570 2.1500 4.5808
H 7.2205 0.3634 4.6209
H 6.2339 2.0851 9.6151
H 9.4179 0.1807 1.5877
H 8.4313 2.2678 6.5819
H 8.5610 0.5904 6.6215
H 9.5476 1.8581 1.6273
H 10.2388 1.0106 0.3539
H 9.2522 1.4379 5.3481
C 3.4285 3.6231 4.7633
C 2.4419 3.7225 9.7575
C 8.1623 1.1746 0.2309
C 7.1758 1.2739 5.2252
N 2.1622 3.4939 3.9909
N 1.1756 3.8516 8.9852
N 9.4286 1.0454 1.0033
N 8.4421 1.4031 5.9975
O 5.2451 1.1422 2.2305
O 4.2586 1.3063 7.2248
O 6.3457 3.5907 2.7637
O 5.3591 3.7549 7.7579
F -0.9178 0.9171 6.8922
F 0.0688 1.5314 1.8980
F 0.2881 3.0710 6.1698
F 1.2747 4.2746 1.1756
F 0.6728 0.9227 4.8943
F -0.3138 1.5258 9.8885
F 1.5570 1.2189 7.3542
F 2.5435 1.2296 2.3600
F 8.0607 3.6674 7.6284
F 9.0473 3.6781 2.6342
F 10.9180 3.3712 0.0999
F 9.9314 3.9743 5.0942
F 9.3296 0.6225 8.8129
F 10.3161 1.8260 3.8187
F 10.5355 3.3656 8.0905
F 11.5221 3.9800 3.0962

5
Lattice="2.9274 0.0000 0.0000 0.0000 2.9274 0.0000 0.0000 0.0000 5.5034" Properties=species:S:1:pos:R:3 comment="BeCN2F PBE optimized geometry" polymorph_energy_mev_per_atom=0.0 formation_energy_uncorrected_mev_per_atom=1310 pbc="T T T"
Be 0.0000 0.0000 0.0000
C 1.4637 1.4637 2.7517
N 0.0000 1.4637 2.7517
N 1.4637 0.0000 2.7517
F 1.4637 1.4637 0.0000

5
Lattice="3.6055 0.0000 0.0000 0.0000 3.6055 0.0000 0.0000 0.0000 3.2179" Properties=species:S:1:pos:R:3 comment="BeCN2F PBE optimized geometry" polymorph_energy_mev_per_atom=494.9 formation_energy_uncorrected_mev_per_atom=1805 pbc="T T T"
Be 0.0000 0.0000 0.0000
C 1.8028 1.8028 1.6089
N 0.0000 1.8028 0.0000
N 1.8028 0.0000 0.0000
F 0.0000 0.0000 1.6089

5
Lattice="3.2862 0.0000 0.0000 0.0000 3.2862 0.0000 0.0000 0.0000 5.4994" Properties=species:S:1:pos:R:3 comment="Be2PdCF PBE optimized geometry" formation_energy_uncorrected_mev_per_atom=89 pbc="T T T"
Be 0.0000 1.6431 0.0000
Be 1.6431 0.0000 0.0000
Pd 0.0000 0.0000 2.7497
C 1.6431 1.6431 0.0000
F 1.6431 1.6431 2.7497

10
Lattice="-2.8469 2.8469 4.3135 2.8469 -2.8469 4.3135 2.8469 2.8469 -4.3135" Properties=species:S:1:pos:R:3 comment="Rb2BeCF6 PBE optimized geometry" formation_energy_uncorrected_mev_per_atom=-1791 pbc="T T T"
Rb 2.8469 0.0000 2.1568
Rb 0.0000 2.8469 2.1568
Be 0.0000 0.0000 0.0000
C 0.0000 0.0000 4.3135
F 1.1862 1.1862 0.0000
F 1.6607 -1.6607 4.3135
F 0.0000 0.0000 2.5926
F 0.0000 0.0000 6.0345
F -1.6607 1.6607 4.3135
F 1.6607 1.6607 4.3135